# 1
Here is a relaxed NdDy3Th2N6 crystal from Alexandria. Energies are from GGA-PBE.

Summary:
The calculation puts the uncorrected formation energy at -1.606 eV per atom. Its total energy is -8.55 eV/atom.

Lattice parameters (Å, degrees): 7.9698 7.9698 7.1391 102.83 102.83 25.93
Last column: nearest neighbours and their distance in Å.
Sites, in units of the cell vectors:
Nd 0.0000 0.0000 0.0000  6 N 2.57-2.58
Dy 0.0000 0.0000 0.5000  6 N 2.48-2.51
Dy 0.3350 0.3350 0.1655  6 N 2.49-2.53
Dy 0.6650 0.6650 0.8345  6 N 2.49-2.53
Th 0.3346 0.3346 0.6701  6 N 2.49-2.55
Th 0.6654 0.6654 0.3299  6 N 2.49-2.55
N 0.1660 0.1660 0.5846  3 Dy 2.51-2.53, 3 Th 2.55
N 0.1701 0.1701 0.0843  3 Dy 2.49-2.51, 2 Th 2.52, 1 Nd 2.57
N 0.4990 0.4990 0.7396  3 Dy 2.48-2.51, 1 Th 2.49, 2 Nd 2.58
N 0.5010 0.5010 0.2604  3 Dy 2.48-2.51, 1 Th 2.49, 2 Nd 2.58
N 0.8299 0.8299 0.9157  3 Dy 2.49-2.51, 2 Th 2.52, 1 Nd 2.57
N 0.8340 0.8340 0.4154  3 Dy 2.51-2.53, 3 Th 2.55



# 2
Here is a relaxed BaSrAg2 crystal from Alexandria. Energies are from GGA-PBE.

Summary:
The calculation puts the formation energy at -166.9 meV/atom. The calculation puts the energy above the lowest structure with this stoichiometry at 0.117 eV per atom. Its total energy is -2.49 eV/atom.

Lattice parameters (Å, degrees): 7.9445 7.9445 7.9445 146.39 146.24 48.38
Last column: nearest neighbours and their distance in Å.
Sites, in units of the cell vectors:
Ba 0.0000 0.0000 0.0000  6 Ag 3.46-3.67
Sr 0.7477 0.2477 0.5000  6 Ag 3.33-3.34
Ag 0.1972 0.6972 0.5000  2 Ag 2.85
Ag 0.5815 0.5815 0.0000  2 Ag 2.85



# 3
Here is a relaxed Pu2ScI6 crystal from Alexandria. Energies are from GGA-PBE.

Summary:
The calculation puts the uncorrected formation energy at -1.076 eV per atom. Its total energy is -6.00 eV/atom.

Lattice parameters (Å, degrees): 8.6546 8.6546 11.2872 112.68 112.68 28.40
Last column: nearest neighbours and their distance in Å.
Sites, in units of the cell vectors:
Pu 0.1682 0.1682 0.3360  6 I 3.16-3.17
Pu 0.8318 0.8318 0.6640  6 I 3.16-3.17
Sc 0.5000 0.5000 0.0000  6 I 2.98-3.00
I 0.1342 0.1342 0.0393  2 Sc 3.00, 1 Pu 3.17
I 0.1838 0.1838 0.6242  3 Pu 3.16
I 0.4826 0.4826 0.7271  1 Sc 2.98, 2 Pu 3.16
I 0.5174 0.5174 0.2729  1 Sc 2.98, 2 Pu 3.16
I 0.8162 0.8162 0.3758  3 Pu 3.16
I 0.8658 0.8658 0.9607  2 Sc 3.00, 1 Pu 3.17



# 4
Here is a relaxed Li4ZrNbTe2O12 crystal from Alexandria. Energies are from GGA-PBE.

Summary:
The calculation puts the uncorrected formation energy at -1.959 eV per atom. Its total energy is -6.56 eV/atom.

Lattice parameters (Å, degrees): 5.2510 5.5871 7.6557 85.10 89.94 89.94
Last column: nearest neighbours and their distance in Å.
Sites, in units of the cell vectors:
Li 0.0000 0.0000 0.0000  3 O 2.02-2.04
Li 0.0019 0.9832 0.4908  3 O 2.03-2.06
Li 0.4948 0.4823 0.9896  4 O 2.03-2.27
Li 0.5024 0.5063 0.5006  3 O 2.01-2.04
Zr 0.9991 0.5571 0.2780  6 O 2.04-2.18
Nb 0.5001 0.0570 0.7762  6 O 1.93-2.15
Te 0.0015 0.5585 0.7808  6 O 1.99-2.16
Te 0.4980 0.0660 0.2803  6 O 1.93-2.03
O 0.1314 0.5905 0.0259  1 Te 2.02, 1 Li 2.03, 1 Zr 2.04
O 0.1822 0.9034 0.7248  1 Nb 1.93, 1 Li 2.04, 1 Te 2.16
O 0.2067 0.2490 0.3581  1 Te 1.96, 1 Li 2.03, 1 Zr 2.08
O 0.3152 0.7760 0.3562  1 Te 1.93, 1 Li 2.04
O 0.3286 0.3945 0.7291  1 Te 2.00, 1 Li 2.02, 1 Nb 2.09
O 0.3710 0.0867 0.0398  1 Te 1.95, 1 Li 2.04, 1 Nb 2.15
O 0.6289 0.0805 0.5285  1 Nb 2.01, 1 Te 2.03, 1 Li 2.06
O 0.6627 0.3772 0.2263  1 Te 1.95, 1 Li 2.06, 1 Zr 2.09
O 0.6839 0.7645 0.8544  1 Nb 1.95, 1 Li 2.07, 1 Te 2.13
O 0.8081 0.2608 0.8550  1 Te 1.99, 1 Li 2.02, 1 Nb 2.10
O 0.8080 0.9021 0.2269  1 Te 1.93, 1 Li 2.04
O 0.8704 0.5880 0.5363  1 Te 1.99, 1 Li 2.01, 1 Zr 2.11



# 5
Here is a relaxed SbP2Ir crystal from Alexandria. Energies are from GGA-PBE.

Summary:
The calculation puts the uncorrected formation energy at -0.035 eV per atom. Its total energy is -5.99 eV/atom.

Lattice parameters (Å, degrees): 6.8304 6.8304 6.8304 130.28 130.28 72.96
Last column: nearest neighbours and their distance in Å.
Sites, in units of the cell vectors:
Sb 0.0000 0.0000 0.0000  4 P 2.66
Sb 0.7500 0.2500 0.5000  4 P 2.66
P 0.1834 0.6250 0.0584  2 Ir 2.27
P 0.3750 0.4334 0.5584  2 Ir 2.27
P 0.5666 0.1250 0.9416  2 Ir 2.27
P 0.8750 0.8166 0.4416  2 Ir 2.27
Ir 0.2500 0.7500 0.5000  4 P 2.27
Ir 0.5000 0.5000 0.0000  4 P 2.27



# 6
Here is a relaxed KTc2PO8 crystal from Alexandria. Energies are from GGA-PBE.

Summary:
The calculation puts the uncorrected formation energy at -1.285 eV per atom. Its total energy is -6.86 eV/atom.

Lattice parameters (Å, degrees): 9.0779 9.0779 9.0779 34.45 34.45 34.45
Last column: nearest neighbours and their distance in Å.
Sites, in units of the cell vectors:
K 0.0000 0.0000 0.0000  6 O 3.22
Tc 0.2320 0.2320 0.2320  4 O 1.75-1.86
Tc 0.7680 0.7680 0.7680  4 O 1.75-1.86
P 0.5000 0.5000 0.5000  6 O 1.70
O 0.1681 0.6062 0.6062  1 P 1.70, 1 Tc 1.86
O 0.3003 0.3003 0.3003  1 Tc 1.75
O 0.3938 0.3938 0.8319  1 P 1.70, 1 Tc 1.86
O 0.3938 0.8319 0.3938  1 P 1.70, 1 Tc 1.86
O 0.6062 0.1681 0.6062  1 P 1.70, 1 Tc 1.86
O 0.6062 0.6062 0.1681  1 P 1.70, 1 Tc 1.86
O 0.6997 0.6997 0.6997  1 Tc 1.75
O 0.8319 0.3938 0.3938  1 P 1.70, 1 Tc 1.86